Entry from the Alexandria database: a relaxed Sm2Ni2I crystal (PBE).

Properties
space group = Imma
DOS(E_F) = 6.89 states/eV/cell
E_form (uncorrected) = -0.560 eV/atom

Cell lengths 4.0650, 7.3673, 9.5570 Å; angles 112.67, 102.28, 90.00 degrees
Fractional positions:
Sm 0.3448 0.8448 0.6897
Sm 0.3449 0.3448 0.6897
Sm 0.6552 0.1552 0.3103
Sm 0.6551 0.6552 0.3103
Ni 0.2138 0.9648 0.4296
Ni 0.7842 0.5352 0.5704
Ni 0.7862 0.0352 0.5704
Ni 0.2158 0.4648 0.4296
I 0.2713 0.7500 0.0000
I 0.7287 0.2500 0.0000

***

Entry from the Alexandria database: a relaxed ThZnRu2 crystal (PBE).

Properties
space group = Pmma
DOS(E_F) = 14.12 states/eV/cell
energy of formation from the pure elements = 0.30 eV per atom

Cell lengths 7.4033, 5.8986, 8.1347 Å; angles 90.00, 90.00, 90.00 degrees
Fractional positions:
Th 0.0000 0.2500 0.7112
Th 0.5000 0.7500 0.2263
Th 0.0000 0.7500 0.2888
Th 0.5000 0.2500 0.7737
Zn 0.5000 0.7500 0.7394
Zn 0.5000 0.2500 0.2606
Zn 0.0000 0.2500 0.2702
Zn 0.0000 0.7500 0.7298
Ru 0.0000 0.0000 0.0000
Ru 0.5000 0.5000 0.5000
Ru 0.2934 0.7500 0.9785
Ru 0.7066 0.2500 0.0215
Ru 0.7066 0.7500 0.9785
Ru 0.2934 0.2500 0.0215
Ru 0.0000 0.5000 0.0000
Ru 0.5000 0.0000 0.5000

***

Entry from the Alexandria database: a relaxed ZrPa2Te6 crystal (PBE).

Properties
space group = C2/m
DOS(E_F) = 11.61 states/eV/cell
excess energy over the best structure of this formula in the dataset = 0 meV per atom
E_form (uncorrected) = -0.809 eV/atom

Cell lengths 4.2278, 8.8726, 9.7344 Å; angles 106.65, 102.54, 90.00 degrees
Fractional positions:
Zr 0.5000 0.0000 0.0000
Pa 0.8389 0.6784 0.6779
Pa 0.1611 0.3216 0.3221
Te 0.3379 0.9241 0.6758
Te 0.9957 0.2322 0.9915
Te 0.6687 0.5776 0.3373
Te 0.0043 0.7678 0.0085
Te 0.6621 0.0759 0.3242
Te 0.3313 0.4224 0.6627

***

Entry from the Alexandria database: a relaxed Ce5Pu2Hg4 crystal (PBE).

Properties
space group = P2/m
DOS(E_F) = 26.07 states/eV/cell
energy of formation from the pure elements = -0.11 eV per atom

Cell lengths 3.2450, 8.0327, 10.8114 Å; angles 90.24, 90.00, 90.00 degrees
Fractional positions:
Ce 0.0000 0.6034 0.3099
Ce 0.0000 0.1990 0.1609
Ce 0.0000 0.5000 0.0000
Ce 0.0000 0.8010 0.8391
Ce 0.0000 0.3966 0.6901
Pu 0.0000 0.0599 0.6390
Pu 0.0000 0.9401 0.3610
Hg 0.5000 0.7162 0.5688
Hg 0.5000 0.1570 0.8958
Hg 0.5000 0.2838 0.4312
Hg 0.5000 0.8430 0.1042

***

Entry from the Alexandria database: a relaxed Ce2CdOs crystal (PBE).

Properties
space group = P4/mmm
DOS(E_F) = 7.50 states/eV/cell
energy of formation from the pure elements = -0.20 eV per atom
excess energy over the best structure of this formula in the dataset = 0 meV per atom

Cell lengths 3.2455, 3.2455, 8.9527 Å; angles 90.00, 90.00, 90.00 degrees
Fractional positions:
Os 0.5000 0.5000 0.0000
Ce 0.0000 0.0000 0.7930
Ce 0.0000 0.0000 0.2070
Cd 0.5000 0.5000 0.5000

***

Entry from the Alexandria database: a relaxed Ca2LaSi crystal (PBE).

Properties
space group = Immm
DOS(E_F) = 3.90 states/eV/cell
E_form (uncorrected) = -0.212 eV/atom

Cell lengths 7.5644, 7.5644, 7.5644 Å; angles 151.94, 139.53, 49.97 degrees
Fractional positions:
Ca 0.0711 0.0711 0.0000
Ca 0.4289 0.4289 0.0000
La 0.7500 0.2500 0.5000
Si 0.2500 0.7500 0.5000

***

Entry from the Alexandria database: a relaxed KSrLi2Ag crystal (PBE).

Properties
space group = P4/mmm
DOS(E_F) = 3.50 states/eV/cell
energy of formation from the pure elements = 0.08 eV per atom

Cell lengths 5.5440, 5.5440, 6.0371 Å; angles 90.00, 90.00, 90.00 degrees
Fractional positions:
Sr 0.0000 0.0000 0.5000
K 0.5000 0.5000 0.5000
Ag 0.0000 0.0000 0.0000
Li 0.0000 0.5000 0.0000
Li 0.5000 0.0000 0.0000

***

Entry from the Alexandria database: a relaxed SmPaRuRh crystal (PBE).

Properties
space group = F-43m
DOS(E_F) = 4.38 states/eV/cell
energy of formation from the pure elements = -0.45 eV per atom

Cell lengths 4.8897, 4.8897, 4.8897 Å; angles 60.00, 60.00, 60.00 degrees
Fractional positions:
Ru 0.7500 0.7500 0.7500
Pa 0.5000 0.5000 0.5000
Rh 0.2500 0.2500 0.2500
Sm 0.0000 0.0000 0.0000

***

Entry from the Alexandria database: a relaxed Na2HoCrS4 crystal (PBE).

Properties
space group = P2/m
E_form (uncorrected) = -1.339 eV/atom

Cell lengths 3.7908, 6.4934, 7.0033 Å; angles 108.37, 90.00, 90.00 degrees
Fractional positions:
Na 0.5000 0.0000 0.5000
Na 0.0000 0.5000 0.5000
Ho 0.0000 0.0000 0.0000
Cr 0.5000 0.5000 0.0000
S 0.5000 0.2632 0.2206
S 0.5000 0.7368 0.7794
S 0.0000 0.2889 0.7943
S 0.0000 0.7111 0.2057

***

Entry from the Alexandria database: a relaxed CeScAsSe crystal (PBE).

Properties
space group = R3m
DOS(E_F) = 6.46 states/eV/cell
E_form (uncorrected) = -1.576 eV/atom

Cell lengths 4.0444, 4.0444, 7.0462 Å; angles 73.32, 73.32, 60.00 degrees
Fractional positions:
Ce 0.9972 0.9972 0.0085
Sc 0.5030 0.5030 0.4909
As 0.2421 0.2421 0.2738
Se 0.7577 0.7577 0.7268

***

Entry from the Alexandria database: a relaxed AlV2CrC crystal (PBE).

Properties
space group = P4/mmm
DOS(E_F) = 6.86 states/eV/cell
energy of formation from the pure elements = -0.19 eV per atom

Cell lengths 4.0095, 4.0095, 3.8201 Å; angles 90.00, 90.00, 90.00 degrees
Fractional positions:
Cr 0.0000 0.0000 0.5000
C 0.0000 0.0000 0.0000
Al 0.5000 0.5000 0.5000
V 0.0000 0.5000 0.0000
V 0.5000 0.0000 0.0000

***

Entry from the Alexandria database: a relaxed AcCoSn4 crystal (PBE).

Properties
space group = Pmma
DOS(E_F) = 8.28 states/eV/cell
energy of formation from the pure elements = -0.24 eV per atom
excess energy over the best structure of this formula in the dataset = 111 meV per atom

Cell lengths 4.2648, 8.1404, 8.7942 Å; angles 90.00, 90.00, 90.00 degrees
Fractional positions:
Ac 0.0000 0.6361 0.7500
Ac 0.0000 0.3639 0.2500
Co 0.0000 0.1787 0.7500
Co 0.0000 0.8213 0.2500
Sn 0.0000 0.0000 0.5000
Sn 0.0000 0.0000 0.0000
Sn 0.5000 0.9651 0.7500
Sn 0.5000 0.0349 0.2500
Sn 0.5000 0.6800 0.0823
Sn 0.5000 0.3200 0.9177
Sn 0.5000 0.6800 0.4177
Sn 0.5000 0.3200 0.5823

***

Entry from the Alexandria database: a relaxed Y2Mg crystal (PBE).

Properties
space group = P4/mmm
DOS(E_F) = 9.02 states/eV/cell
energy of formation from the pure elements = -0.06 eV per atom

Cell lengths 3.6915, 3.6915, 12.8879 Å; angles 90.00, 90.00, 90.00 degrees
Fractional positions:
Y 0.5000 0.5000 0.0000
Y 0.5000 0.5000 0.3092
Y 0.0000 0.0000 0.5000
Y 0.5000 0.5000 0.6908
Mg 0.0000 0.0000 0.8470
Mg 0.0000 0.0000 0.1530

***

Entry from the Alexandria database: a relaxed Ta2FePt crystal (PBE).

Properties
space group = C2/m
DOS(E_F) = 4.66 states/eV/cell
energy of formation from the pure elements = -0.07 eV per atom
excess energy over the best structure of this formula in the dataset = 293 meV per atom

Cell lengths 4.8298, 4.8298, 5.0217 Å; angles 81.82, 81.82, 33.76 degrees
Fractional positions:
Fe 0.7500 0.7500 0.7500
Pt 0.2500 0.2500 0.2500
Ta 0.9973 0.9973 0.9944
Ta 0.5027 0.5027 0.5056

***

Entry from the Alexandria database: a relaxed SbWCl3 crystal (PBE).

Properties
space group = Pm-3m
DOS(E_F) = 13.13 states/eV/cell
excess energy over the best structure of this formula in the dataset = 517 meV per atom
E_form (uncorrected) = 0.933 eV/atom

Cell lengths 5.3891, 5.3891, 5.3891 Å; angles 90.00, 90.00, 90.00 degrees
Fractional positions:
Sb 0.0000 0.0000 0.0000
W 0.5000 0.5000 0.5000
Cl 0.0000 0.5000 0.0000
Cl 0.0000 0.0000 0.5000
Cl 0.5000 0.0000 0.0000

***

Entry from the Alexandria database: a relaxed YZnGa2Cu crystal (PBE).

Properties
space group = I-4m2
DOS(E_F) = 2.32 states/eV/cell
energy of formation from the pure elements = -0.44 eV per atom

Cell lengths 4.1231, 4.1231, 6.0144 Å; angles 110.05, 110.05, 90.00 degrees
Fractional positions:
Y 0.0000 0.0000 0.0000
Zn 0.7500 0.2500 0.5000
Ga 0.6163 0.6163 0.2326
Ga 0.3837 0.3837 0.7674
Cu 0.2500 0.7500 0.5000

***

Entry from the Alexandria database: a relaxed NpPaMnS4 crystal (PBE).

Properties
space group = P2_1/m
DOS(E_F) = 18.98 states/eV/cell
E_form (uncorrected) = -1.230 eV/atom

Cell lengths 6.4337, 5.8684, 7.4816 Å; angles 90.00, 106.77, 90.00 degrees
Fractional positions:
Np 0.7515 0.7500 0.9325
Np 0.2485 0.2500 0.0675
Pa 0.7612 0.7500 0.4419
Pa 0.2388 0.2500 0.5581
Mn 0.2408 0.7500 0.3082
Mn 0.7592 0.2500 0.6918
S 0.0208 0.5109 0.7555
S 0.9792 0.0109 0.2445
S 0.9792 0.4891 0.2445
S 0.0208 0.9891 0.7555
S 0.4388 0.7500 0.1097
S 0.5612 0.2500 0.8903
S 0.4279 0.7500 0.6068
S 0.5721 0.2500 0.3932

***

Entry from the Alexandria database: a relaxed Nd3InGe crystal (PBE).

Properties
space group = C2/m
DOS(E_F) = 8.93 states/eV/cell
energy of formation from the pure elements = -0.52 eV per atom
excess energy over the best structure of this formula in the dataset = 0 meV per atom

Cell lengths 6.0226, 6.0226, 9.1116 Å; angles 103.21, 103.21, 108.08 degrees
Fractional positions:
Nd 0.1905 0.6905 0.8810
Nd 0.8095 0.3095 0.1190
Nd 0.2046 0.0881 0.2942
Nd 0.4119 0.2954 0.7058
Nd 0.7954 0.9119 0.7058
Nd 0.5881 0.7046 0.2942
In 0.7999 0.2999 0.4999
In 0.2001 0.7001 0.5001
Ge 0.7502 0.7498 0.0000
Ge 0.2498 0.2502 0.0000

***

Entry from the Alexandria database: a relaxed Sc6CdNi crystal (PBE).

Properties
space group = C2/m
DOS(E_F) = 11.75 states/eV/cell
energy of formation from the pure elements = 0.05 eV per atom

Cell lengths 6.1588, 6.1588, 6.1753 Å; angles 102.40, 102.40, 117.22 degrees
Fractional positions:
Sc 0.2723 0.2723 0.7182
Sc 0.4980 0.0919 0.2587
Sc 0.7277 0.7277 0.2818
Sc 0.9081 0.5020 0.7413
Sc 0.5020 0.9081 0.7413
Sc 0.0919 0.4980 0.2587
Cd 0.0000 0.0000 0.0000
Ni 0.5000 0.5000 0.5000

***

Entry from the Alexandria database: a relaxed NbAsBr2N crystal (PBE).

Properties
space group = P4/mmm
DOS(E_F) = 3.47 states/eV/cell
excess energy over the best structure of this formula in the dataset = 294 meV per atom
E_form (uncorrected) = 1.187 eV/atom

Cell lengths 4.4368, 4.4368, 4.6999 Å; angles 90.00, 90.00, 90.00 degrees
Fractional positions:
Nb 0.5000 0.5000 0.5000
As 0.0000 0.0000 0.5000
Br 0.0000 0.5000 0.0000
Br 0.5000 0.0000 0.0000
N 0.0000 0.0000 0.0000

***

Entry from the Alexandria database: a relaxed Tl3Sb5 crystal (PBE).

Properties
space group = Cmmm
DOS(E_F) = 2.67 states/eV/cell
excess energy over the best structure of this formula in the dataset = 34 meV per atom
E_form (uncorrected) = 0.117 eV/atom

Cell lengths 7.4314, 7.4314, 4.2859 Å; angles 90.00, 90.00, 94.37 degrees
Fractional positions:
Tl 0.5000 0.5000 0.0000
Tl 0.7450 0.7450 0.5000
Tl 0.2550 0.2550 0.5000
Sb 0.0000 0.0000 0.0000
Sb 0.5000 0.0000 0.0000
Sb 0.0000 0.5000 0.0000
Sb 0.7777 0.2223 0.5000
Sb 0.2223 0.7777 0.5000

***

Entry from the Alexandria database: a relaxed LiTlV2Hg crystal (PBE).

Properties
space group = P4/mmm
DOS(E_F) = 6.09 states/eV/cell
energy of formation from the pure elements = 1.11 eV per atom

Cell lengths 5.1971, 4.8683, 5.1971 Å; angles 90.00, 90.00, 90.00 degrees
Fractional positions:
Tl 0.0000 0.0000 0.0000
Li 0.0000 0.5000 0.0000
Hg 0.5000 0.5000 0.5000
V 0.0000 0.0000 0.5000
V 0.5000 0.0000 0.0000

***

Entry from the Alexandria database: a relaxed LiY2Al4Au3 crystal (PBE).

Properties
space group = P-4m2
DOS(E_F) = 5.07 states/eV/cell
energy of formation from the pure elements = -0.64 eV per atom

Cell lengths 4.2210, 4.2210, 11.0026 Å; angles 90.00, 90.00, 90.00 degrees
Fractional positions:
Li 0.5000 0.5000 0.5000
Y 0.5000 0.0000 0.2495
Y 0.0000 0.5000 0.7505
Al 0.5000 0.5000 0.0000
Al 0.0000 0.0000 0.0000
Al 0.5000 0.0000 0.6350
Al 0.0000 0.5000 0.3650
Au 0.0000 0.0000 0.5000
Au 0.5000 0.0000 0.8622
Au 0.0000 0.5000 0.1378

***

Entry from the Alexandria database: a relaxed CaHgSb2I crystal (PBE).

Properties
space group = P4/mmm
DOS(E_F) = 5.43 states/eV/cell
excess energy over the best structure of this formula in the dataset = 80 meV per atom
E_form (uncorrected) = 0.210 eV/atom

Cell lengths 6.0425, 6.0425, 6.0048 Å; angles 90.00, 90.00, 90.00 degrees
Fractional positions:
I 0.0000 0.0000 0.5000
Sb 0.0000 0.5000 0.0000
Sb 0.5000 0.0000 0.0000
Ca 0.0000 0.0000 0.0000
Hg 0.5000 0.5000 0.5000

***

Entry from the Alexandria database: a relaxed Ba2CrAs2 crystal (PBE).

Properties
space group = Ibam
DOS(E_F) = 7.06 states/eV/cell
energy of formation from the pure elements = -0.73 eV per atom
excess energy over the best structure of this formula in the dataset = 0 meV per atom

Cell lengths 6.5723, 7.0523, 8.3361 Å; angles 115.02, 113.22, 90.00 degrees
Fractional positions:
Ba 0.8576 0.6745 0.7153
Ba 0.1424 0.3255 0.2847
Ba 0.6424 0.9592 0.2847
Ba 0.3576 0.0408 0.7153
Cr 0.7500 0.5000 0.0000
Cr 0.2500 0.5000 0.0000
As 0.3952 0.5918 0.7903
As 0.6048 0.4082 0.2097
As 0.1048 0.8015 0.2097
As 0.8952 0.1985 0.7903